Record 1
Below is a geometry-optimized NiSnSe2 structure, with properties calculated at the GGA-PBE level.

Lattice parameters (Å, degrees): 7.3022 7.3022 7.3022 29.23 29.23 29.23
Fractional coordinates of all 4 atoms:
Ni 0.0000 0.0000 0.0000
Sn 0.8349 0.8349 0.8349
Se 0.3938 0.3938 0.3938
Se 0.6065 0.6065 0.6065

Properties
raw total energy: -4.41 eV/atom
formation energy from raw total energies: -217 meV per atom
size of the total moment: 0.00 μB/cell


Record 2
Below is a geometry-optimized Ni4SnSe8 structure, with properties calculated at the GGA-PBE level.

Lattice parameters (Å, degrees): 7.3839 7.3839 7.3839 60.00 60.00 60.00
Fractional coordinates of all 13 atoms:
Ni 0.3819 0.3819 0.3819
Ni 0.3819 0.3819 0.8543
Ni 0.3819 0.8543 0.3819
Ni 0.8543 0.3819 0.3819
Sn 0.0000 0.0000 0.0000
Se 0.1448 0.1448 0.1448
Se 0.1448 0.1448 0.5656
Se 0.1448 0.5656 0.1448
Se 0.1676 0.6108 0.6108
Se 0.5656 0.1448 0.1448
Se 0.6108 0.1676 0.6108
Se 0.6108 0.6108 0.1676
Se 0.6108 0.6108 0.6108

Properties
raw total energy: -4.46 eV/atom
formation energy from raw total energies: -229 meV per atom
size of the total moment: 0.00 μB/cell


Record 3
Below is a geometry-optimized Ni3SnSe structure, with properties calculated at the GGA-PBE level.

Lattice parameters (Å, degrees): 4.6695 4.6695 4.6695 90.00 90.00 90.00
Fractional coordinates of all 5 atoms:
Ni 0.0000 0.0000 0.5000
Ni 0.0000 0.5000 0.0000
Ni 0.5000 0.0000 0.0000
Sn 0.0000 0.0000 0.0000
Se 0.5000 0.5000 0.5000

Properties
raw total energy: -3.96 eV/atom
formation energy from raw total energies: 1009 meV per atom
size of the total moment: 0.00 μB/cell


Record 4
Below is a geometry-optimized NiSn3Se structure, with properties calculated at the GGA-PBE level.

Lattice parameters (Å, degrees): 4.9901 4.9901 4.9901 90.00 90.00 90.00
Fractional coordinates of all 5 atoms:
Ni 0.0000 0.0000 0.0000
Sn 0.0000 0.0000 0.5000
Sn 0.0000 0.5000 0.0000
Sn 0.5000 0.0000 0.0000
Se 0.5000 0.5000 0.5000

Properties
raw total energy: -4.30 eV/atom
formation energy from raw total energies: -50 meV per atom
size of the total moment: 0.00 μB/cell


Record 5
Below is a geometry-optimized Ni5SnSe2 structure, with properties calculated at the GGA-PBE level.

Lattice parameters (Å, degrees): 9.7143 9.7143 9.7143 157.88 157.88 31.49
Fractional coordinates of all 8 atoms:
Ni 0.0000 0.0000 0.0000
Ni 0.1002 0.6002 0.5000
Ni 0.3998 0.8998 0.5000
Ni 0.6002 0.1002 0.5000
Ni 0.8998 0.3998 0.5000
Sn 0.5000 0.5000 0.0000
Se 0.1755 0.1755 0.0000
Se 0.8245 0.8245 0.0000

Properties
raw total energy: -5.26 eV/atom
formation energy from raw total energies: -280 meV per atom
size of the total moment: 0.00 μB/cell


Record 6
Below is a geometry-optimized Ni2SnSe2 structure, with properties calculated at the GGA-PBE level.

Lattice parameters (Å, degrees): 8.4824 8.4824 8.4824 25.94 25.94 25.94
Fractional coordinates of all 5 atoms:
Ni 0.0919 0.0919 0.0919
Ni 0.9081 0.9081 0.9081
Sn 0.5000 0.5000 0.5000
Se 0.2687 0.2687 0.2687
Se 0.7313 0.7313 0.7313

Properties
raw total energy: -4.66 eV/atom
formation energy from raw total energies: -150 meV per atom
size of the total moment: 0.00 μB/cell